A plane-wave DFT calculation with GGA-PBE was carried out for a geometry-optimized Mn2TlCr structure.

Calculated values
Symmetry = Fm-3m
Calculated volume = 65.7 Å³ per cell
D(E_F) = 4.6 states/eV per cell
ΔE_f = 0.4434 eV/atom
Total moment = 3.8 μB/f.u.

Unit cell a=4.5301 b=4.5301 c=4.5301 alpha=60.00 beta=60.00 gamma=60.00
Fractional coordinates of all 4 atoms:
Mn: 0.2500 0.2500 0.2500
Mn: 0.7500 0.7500 0.7500
Tl: 0.0000 0.0000 0.0000
Cr: 0.5000 0.5000 0.5000

A plane-wave DFT calculation with GGA-PBE was carried out for a geometry-optimized Ce3FeSi2 structure.

Calculated values
Symmetry = Pnma
Calculated volume = 505.1 Å³ per cell
D(E_F) = 35.5 states/eV per cell
Total moment = 0.0 μB/f.u.
E_form (uncorrected) = -0.5402 eV per atom

Unit cell a=11.8361 b=4.2457 c=10.0517 alpha=90.00 beta=90.00 gamma=90.00
Fractional coordinates of all 24 atoms:
Ce: 0.0509 0.2500 0.1010
Ce: 0.1268 0.7500 0.5678
Ce: 0.2295 0.2500 0.7610
Ce: 0.2705 0.7500 0.2610
Ce: 0.3732 0.2500 0.0678
Ce: 0.4491 0.7500 0.6010
Ce: 0.5509 0.2500 0.3990
Ce: 0.6268 0.7500 0.9322
Ce: 0.7295 0.2500 0.7390
Ce: 0.7705 0.7500 0.2390
Ce: 0.8732 0.2500 0.4322
Ce: 0.9491 0.7500 0.8990
Fe: 0.1171 0.2500 0.3350
Fe: 0.3829 0.7500 0.8350
Fe: 0.6171 0.2500 0.1650
Fe: 0.8829 0.7500 0.6650
Si: 0.0216 0.7500 0.3068
Si: 0.2082 0.7500 0.9669
Si: 0.2918 0.2500 0.4669
Si: 0.4784 0.2500 0.8068
Si: 0.5216 0.7500 0.1932
Si: 0.7082 0.7500 0.5331
Si: 0.7918 0.2500 0.0331
Si: 0.9784 0.2500 0.6932

A plane-wave DFT calculation with GGA-PBE was carried out for a geometry-optimized CoAuSe2 structure.

Calculated values
Symmetry = Immm
Calculated volume = 86.9 Å³ per cell
D(E_F) = 2.1 states/eV per cell
Total moment = 1.2 μB/f.u.
E_form (uncorrected) = -0.0214 eV per atom

Unit cell a=6.4169 b=6.4169 c=6.4169 alpha=148.32 beta=140.99 gamma=51.10
Fractional coordinates of all 4 atoms:
Co: 0.0000 0.0000 0.0000
Au: 0.5000 0.5000 0.0000
Se: 0.1382 0.6382 0.5000
Se: 0.8618 0.3618 0.5000

A plane-wave DFT calculation with GGA-PBE was carried out for a geometry-optimized Tm2MgNi2 structure.

Calculated values
Symmetry = P4/mbm
Calculated volume = 195.1 Å³ per cell
D(E_F) = 9.5 states/eV per cell
ΔE_f = -0.4104 eV/atom
Total moment = 0.0 μB/f.u.

Unit cell a=7.2700 b=7.2700 c=3.6919 alpha=90.00 beta=90.00 gamma=90.00
Fractional coordinates of all 10 atoms:
Tm: 0.1709 0.3291 0.0000
Tm: 0.3291 0.8291 0.0000
Tm: 0.6709 0.1709 0.0000
Tm: 0.8291 0.6709 0.0000
Mg: 0.0000 0.0000 0.5000
Mg: 0.5000 0.5000 0.5000
Ni: 0.1226 0.6226 0.5000
Ni: 0.3774 0.1226 0.5000
Ni: 0.6226 0.8774 0.5000
Ni: 0.8774 0.3774 0.5000